The following is a GGA-PBE calculation of an optimized crystal structure of BaMg5Ge2, from the Alexandria database.

Output
DOS(E_F)   4.38 states/eV/cell
V   394.17 Å³/cell
Spin magnetization   0.00 μB/cell
Calculated formation energy   -0.306 eV per atom
Total DFT energy (no corrections)   -2.70 eV per atom

a b c (Å): 4.4299 8.1652 10.8975
angles (deg): 90.00 90.00 90.00
Last column: nearest neighbours and their distance in Å.
Space group Immm (No. 71)
Symmetry-distinct sites (fractional):
1 Ba 0.0000 0.0000 0.0000 x2  4 Ge 3.49, 8 Mg 3.77
2 Mg 0.0000 0.1841 0.3498 x8  3 Ge 2.79-2.90, 1 Mg 3.01
3 Mg 0.0000 0.5000 0.0000 x2  2 Ge 2.75
4 Ge 0.0000 0.5000 0.2522 x4  7 Mg 2.75-2.90

***

The following is a GGA-PBE calculation of an optimized crystal structure of MgBe8, from the Alexandria database.

Output
DOS(E_F)   4.51 states/eV/cell
V   169.81 Å³/cell
Spin magnetization   0.00 μB/cell
Calculated formation energy   0.239 eV per atom
Total DFT energy (no corrections)   -3.25 eV per atom

a b c (Å): 7.1540 7.1540 3.3179
angles (deg): 90.00 90.00 90.00
Last column: nearest neighbours and their distance in Å.
Space group I4/mmm (No. 139)
Symmetry-distinct sites (fractional):
1 Mg 0.0000 0.0000 0.0000 x2  12 Be 2.50
2 Be 0.0000 0.3493 0.0000 x8  7 Be 2.16-2.27
3 Be 0.1845 0.1845 0.5000 x8  4 Be 2.12-2.27

***

The following is a GGA-PBE calculation of an optimized crystal structure of CuOsBr2, from the Alexandria database.

Output
E_form (uncorrected)   0.84 eV/atom
Offset from the most stable computed form   415 meV/atom
DOS(E_F)   7.94 states/eV/cell
V   165.16 Å³/cell
Spin magnetization   0.00 μB/cell
Total DFT energy (no corrections)   -3.83 eV per atom

a b c (Å): 3.0238 4.5745 11.9399
angles (deg): 90.00 90.00 90.00
Last column: nearest neighbours and their distance in Å.
Space group Imm2 (No. 44)
Symmetry-distinct sites (fractional):
1 Cu 0.0000 0.0000 0.0000 x2  2 Os 2.57
2 Os 0.0000 0.5000 0.6739 x2  2 Cu 2.57, 6 Br 2.61-2.76
3 Br 0.0000 0.0000 0.3516 x2  2 Os 2.61
4 Br 0.0000 0.5000 0.1467 x2  4 Os 2.76, 2 Cu 2.88, 2 Br 3.02

***

The following is a GGA-PBE calculation of an optimized crystal structure of Tb2DyErTm, from the Alexandria database.

Output
DOS(E_F)   28.27 states/eV/cell
V   673.74 Å³/cell
Spin magnetization   0.00 μB/cell
Calculated formation energy   0.412 eV per atom
Total DFT energy (no corrections)   -4.17 eV per atom

a b c (Å): 8.2990 11.3176 7.1733
angles (deg): 90.00 90.00 90.00
Last column: nearest neighbours and their distance in Å.
Space group Cmcm (No. 63)
Symmetry-distinct sites (fractional):
1 Tb 0.1925 0.0000 0.0000 x8  2 Tm 3.12, 1 Tb 3.19, 2 Er 3.49
2 Dy 0.0000 0.2263 0.2500 x4  1 Tm 3.11
3 Er 0.0000 0.2237 0.7500 x4  1 Tm 3.12, 4 Tb 3.49
4 Tm 0.0000 0.4989 0.7500 x4  1 Dy 3.11, 1 Er 3.12, 4 Tb 3.12

***

The following is a GGA-PBE calculation of an optimized crystal structure of ZnSe3O9, from the Alexandria database.

Output
E_form (uncorrected)   -0.67 eV/atom
DOS(E_F)   0.00 states/eV/cell
V   910.48 Å³/cell
Spin magnetization   0.00 μB/cell
Total DFT energy (no corrections)   -5.00 eV per atom

a b c (Å): 13.0883 8.0144 10.4741
angles (deg): 90.00 124.03 90.00
Last column: nearest neighbours and their distance in Å.
Space group Cc (No. 9)
Symmetry-distinct sites (fractional):
1 Zn 0.0000 0.1625 0.0000 x4  5 O 1.99-2.16
2 Se 0.1804 0.3085 0.8856 x4  3 O 1.62-1.68
3 Se 0.2850 0.0059 0.3022 x4  4 O 1.65-1.83
4 Se 0.3607 0.3857 0.6822 x4  2 O 1.65-1.68
5 O 0.0607 0.3111 0.9012 x4  1 Se 1.66
6 O 0.1470 0.3776 0.7207 x4  1 Se 1.62
7 O 0.1671 0.0317 0.1219 x4  1 Se 1.65
8 O 0.2225 0.0874 0.9044 x4  2 Se 1.83
9 O 0.3092 0.3810 0.0457 x4  1 Se 1.68
10 O 0.3387 0.1800 0.4041 x4  1 Se 1.66
11 O 0.3902 0.1210 0.8164 x4  1 Se 1.65
12 O 0.4086 0.4825 0.8455 x4  1 Se 1.65
13 O 0.4875 0.3618 0.6807 x4  1 Se 1.68

***

The following is a GGA-PBE calculation of an optimized crystal structure of Zn3GeSe, from the Alexandria database.

Output
E_form (uncorrected)   0.27 eV/atom
Offset from the most stable computed form   0 meV/atom
DOS(E_F)   2.10 states/eV/cell
V   109.39 Å³/cell
Spin magnetization   0.00 μB/cell
Total DFT energy (no corrections)   -2.12 eV per atom

a b c (Å): 4.7825 4.7825 4.7825
angles (deg): 90.00 90.00 90.00
Last column: nearest neighbours and their distance in Å.
Space group Pm-3m (No. 221)
Symmetry-distinct sites (fractional):
1 Zn 0.0000 0.0000 0.5000 x3  2 Ge 2.39
2 Ge 0.0000 0.0000 0.0000 x1  6 Zn 2.39
3 Se 0.5000 0.5000 0.5000 x1  12 Zn 3.38

***

The following is a GGA-PBE calculation of an optimized crystal structure of NaNb2Tl2O7, from the Alexandria database.

Output
E_form (uncorrected)   -1.88 eV/atom
DOS(E_F)   5.32 states/eV/cell
V   356.82 Å³/cell
Spin magnetization   0.00 μB/cell
Total DFT energy (no corrections)   -6.96 eV per atom

a b c (Å): 5.7959 5.6604 11.0121
angles (deg): 90.00 99.01 90.00
Last column: nearest neighbours and their distance in Å.
Space group C2/m (No. 12)
Symmetry-distinct sites (fractional):
1 Na 0.0000 0.0000 0.0000 x2  12 O 2.81-2.90
2 Nb 0.0905 0.5000 0.1830 x4  4 O 1.89-2.04
3 Tl 0.1898 0.0000 0.3958 x4  1 O 2.41
4 O 0.0000 0.5000 0.0000 x2  2 Nb 2.00
5 O 0.0940 0.5000 0.3684 x4  1 Nb 2.04
6 O 0.1962 0.2527 0.8195 x8  1 Nb 1.89

***

The following is a GGA-PBE calculation of an optimized crystal structure of TlNi2Rh2, from the Alexandria database.

Output
Offset from the most stable computed form   17 meV/atom
DOS(E_F)   16.73 states/eV/cell
V   151.42 Å³/cell
Spin magnetization   3.77 μB/cell
Calculated formation energy   0.268 eV per atom
Total DFT energy (no corrections)   -5.46 eV per atom

a b c (Å): 7.2569 7.2569 2.8753
angles (deg): 90.00 90.00 90.00
Last column: nearest neighbours and their distance in Å.
Space group P4/mbm (No. 127)
Symmetry-distinct sites (fractional):
1 Tl 0.0000 0.0000 0.0000 x2  4 Rh 2.84, 2 Tl 2.88, 8 Ni 3.07
2 Ni 0.1637 0.3363 0.5000 x4  6 Rh 2.55-2.59
3 Rh 0.1310 0.6310 0.0000 x4  6 Ni 2.55-2.59, 1 Rh 2.69, 2 Tl 2.84